DyZrHgOs after structural relaxation. Source: Alexandria via LeMat-Bulk, functional GGA-PBE.

## Properties
Formation energy, meV/atom: -193
Total magnetization, μB per atom: 0.000
Space group: F-43m (216)

extended XYZ file:
```
4
Lattice="-4.219 2.260 -1.096 -1.958 -0.492 -4.476 -4.105 -2.625 -0.609" Properties=species:S:1:pos:R:3 pbc="T T T"
Os -2.571 -0.214 -1.545
Hg -7.712 -0.643 -4.635
Zr -5.141 -0.428 -3.090
Dy 0.000 0.000 0.000
```

=====

NiPPb after structural relaxation. Source: Alexandria via LeMat-Bulk, functional GGA-PBE.

## Properties
Formation energy, meV/atom: -118
Total magnetization, μB per atom: 0.000
Space group: P2_13 (198)

extended XYZ file:
```
12
Lattice="-0.503 -6.020 -0.784 3.861 0.290 -4.703 4.685 -0.886 3.792" Properties=species:S:1:pos:R:3 pbc="T T T"
P 5.179 -4.260 -1.092
P 1.618 -5.178 -1.800
P 4.901 -0.934 -2.789
P 4.387 -2.860 2.290
Pb 2.861 -2.354 -0.603
Pb 6.424 -1.440 0.102
Pb 3.144 -5.680 1.093
Pb 3.656 -3.758 -3.983
Ni 0.552 -0.454 -0.116
Ni 6.043 -2.831 -2.562
Ni 5.743 -4.123 1.057
Ni 3.747 -5.824 -1.769
```

=====

HfTc2Ru after structural relaxation. Source: Alexandria via LeMat-Bulk, functional GGA-PBE.

## Properties
Formation energy, meV/atom: 399
Total magnetization, μB per atom: 0.000
Space group: I-42d (122)

extended XYZ file:
```
8
Lattice="7.337 0.000 0.000 0.000 7.337 0.000 3.668 3.668 2.570" Properties=species:S:1:pos:R:3 pbc="T T T"
Ru 3.668 3.668 0.000
Ru 3.668 7.337 1.285
Hf 0.000 0.000 0.000
Hf 7.337 3.668 1.285
Tc 5.283 1.834 0.643
Tc 2.054 5.503 0.643
Tc 5.503 5.722 1.928
Tc 9.171 8.952 1.928
```

=====

Nd2Ho6Tm3Mg after structural relaxation. Source: Alexandria via LeMat-Bulk, functional GGA-PBE.

## Properties
Formation energy, meV/atom: 23
Total magnetization, μB per atom: 0.000
Space group: C2/m (12)

extended XYZ file:
```
12
Lattice="6.090 -0.003 0.000 -3.046 5.273 0.000 -1.022 -1.770 11.498" Properties=species:S:1:pos:R:3 pbc="T T T"
Nd 0.002 3.513 0.000
Nd 3.041 1.757 0.000
Ho 3.035 1.758 8.589
Ho 2.029 3.514 2.920
Ho -1.014 1.742 2.910
Ho 0.006 3.507 8.589
Ho -0.008 -0.014 8.579
Ho 2.015 -0.007 2.910
Tm -2.045 3.514 5.750
Tm 4.066 -0.015 5.750
Tm 1.011 1.750 5.750
Mg 0.000 0.000 0.000
```

=====

HoCuBiPd after structural relaxation. Source: Alexandria via LeMat-Bulk, functional GGA-PBE.

## Properties
Formation energy, meV/atom: -465
Total magnetization, μB per atom: 0.000
Space group: F-43m (216)

extended XYZ file:
```
4
Lattice="-2.871 -3.692 -1.349 0.177 -1.678 -4.566 1.929 -4.376 -0.912" Properties=species:S:1:pos:R:3 pbc="T T T"
Cu -0.383 -4.873 -3.414
Bi -0.574 -7.310 -5.120
Pd 0.000 0.000 0.000
Ho -0.191 -2.437 -1.707
```

=====

BaPtNO2 after structural relaxation. Source: Alexandria via LeMat-Bulk, functional GGA-PBE.

## Properties
Energy relative to the elements, uncorrected, eV per formula unit: -3.6
Total magnetization, μB per atom: 0.000
Space group: P4/mmm (123)

extended XYZ file:
```
5
Lattice="-3.265 2.149 1.976 -2.918 -2.313 -2.306 -0.076 -2.616 2.719" Properties=species:S:1:pos:R:3 pbc="T T T"
O -1.459 -1.156 -1.153
O -1.632 1.074 0.988
Ba -3.129 -1.390 1.195
Pt 0.000 0.000 0.000
N -0.038 -1.308 1.360
```

=====

Cs2HfNbMo after structural relaxation. Source: Alexandria via LeMat-Bulk, functional GGA-PBE.

## Properties
Formation energy, meV/atom: 2196
Total magnetization, μB per atom: 0.814
Space group: P4/mmm (123)

extended XYZ file:
```
5
Lattice="-4.385 3.822 -2.092 -3.265 -1.977 3.230 1.642 4.199 4.230" Properties=species:S:1:pos:R:3 pbc="T T T"
Cs 0.821 2.099 2.115
Cs -2.192 1.911 -1.046
Mo 0.000 0.000 0.000
Hf -1.632 -0.989 1.615
Nb -3.004 3.022 2.684
```

=====

WAuSe3 after structural relaxation. Source: Alexandria via LeMat-Bulk, functional GGA-PBE.

## Properties
Energy relative to the elements, uncorrected, eV per formula unit: -0.5
Total magnetization, μB per atom: 0.000
Space group: Cm (8)

extended XYZ file:
```
10
Lattice="5.790 -0.059 0.019 0.060 7.528 -0.447 -0.066 -4.145 7.185" Properties=species:S:1:pos:R:3 pbc="T T T"
W 5.678 2.990 6.563
W 2.795 0.306 0.202
Au 4.374 -1.759 3.814
Au 1.532 5.082 2.944
Se 4.181 1.468 5.671
Se 1.538 3.297 4.689
Se 1.322 1.858 1.084
Se 4.427 0.025 2.068
Se 1.576 5.699 0.525
Se 4.389 -2.378 6.233
```

=====

RbTbIO6 after structural relaxation. Source: Alexandria via LeMat-Bulk, functional GGA-PBE.

## Properties
Energy relative to the elements, uncorrected, eV per formula unit: -12.4
Total magnetization, μB per atom: 0.120
Space group: P312 (149)

extended XYZ file:
```
9
Lattice="5.763 0.000 0.000 2.882 4.991 0.000 0.000 -0.001 6.090" Properties=species:S:1:pos:R:3 pbc="T T T"
Rb 5.763 0.000 6.090
Tb 5.763 3.327 3.045
I 2.882 1.663 3.045
O 1.328 1.800 1.957
O 2.223 0.250 4.132
O 4.435 1.800 4.132
O 1.987 2.941 4.132
O 3.777 2.940 1.957
O 3.540 0.250 1.957
```

=====

IrPbIO6 after structural relaxation. Source: Alexandria via LeMat-Bulk, functional GGA-PBE.

## Properties
Energy relative to the elements, uncorrected, eV per formula unit: -5.8
Total magnetization, μB per atom: 0.000
Space group: P312 (149)

extended XYZ file:
```
9
Lattice="5.392 0.000 0.000 2.696 4.670 0.000 0.000 0.000 5.365" Properties=species:S:1:pos:R:3 pbc="T T T"
Ir 5.392 3.113 2.682
Pb 5.392 0.000 5.365
I 2.696 1.557 2.682
O 6.380 1.730 1.595
O 4.688 4.661 3.770
O 4.405 1.730 3.770
O 7.085 2.949 3.770
O 3.700 2.950 1.595
O 6.097 4.661 1.595
```

=====

NaTcTeC2 after structural relaxation. Source: Alexandria via LeMat-Bulk, functional GGA-PBE.

## Properties
Energy relative to the elements, uncorrected, eV per formula unit: 4.9
Total magnetization, μB per atom: 0.000
Space group: P4/mmm (123)

extended XYZ file:
```
5
Lattice="4.029 0.000 0.000 0.000 5.664 0.000 0.000 0.000 4.029" Properties=species:S:1:pos:R:3 pbc="T T T"
Na 2.015 2.832 2.015
C 0.000 0.000 2.015
C 2.015 0.000 0.000
Te 0.000 2.832 0.000
Tc 0.000 0.000 0.000
```

=====

LaZn2Te after structural relaxation. Source: Alexandria via LeMat-Bulk, functional GGA-PBE.

## Properties
Energy relative to the elements, uncorrected, eV per formula unit: -2.0
Total magnetization, μB per atom: 0.000
Space group: I-4m2 (119)

extended XYZ file:
```
4
Lattice="5.793 0.000 0.000 2.196 5.361 0.000 -3.994 -2.681 3.228" Properties=species:S:1:pos:R:3 pbc="T T T"
La 3.994 2.681 0.000
Te 2.897 0.000 1.614
Zn 0.000 0.000 0.000
Zn 1.098 2.681 1.614
```

=====

Energy in eV per atom, matching the order above: -6.364; -5.084; -9.591; -4.311; -4.902; -5.966; -4.316; -5.440; -5.482; -5.523; -5.669; -3.153